A plane-wave DFT calculation with GGA-PBE was carried out for crystalline Ca2PdPb5 at its relaxed geometry.

Properties
VASP energy (eV per cell): -60.6
V (Å³/cell): 453
Magnetic moment (μB per atom): 0.000
DOS(E_F) (states/eV/f.u.): 3.73
ΔE_f (meV per atom): -320

Cell lengths 8.260, 15.087, 3.637 Å; angles 90.00, 90.00, 90.00 degrees
Fractional coordinates of all 16 atoms:
Ca (0.221, 0.120, 0.000)
Ca (0.279, 0.620, 0.000)
Ca (0.721, 0.380, 0.000)
Ca (0.779, 0.880, 0.000)
Pd (0.000, 0.000, 0.500)
Pd (0.500, 0.500, 0.500)
Pb (0.000, 0.500, 0.500)
Pb (0.010, 0.269, 0.500)
Pb (0.196, 0.890, 0.000)
Pb (0.304, 0.390, 0.000)
Pb (0.490, 0.769, 0.500)
Pb (0.500, 0.000, 0.500)
Pb (0.510, 0.231, 0.500)
Pb (0.696, 0.610, 0.000)
Pb (0.804, 0.110, 0.000)
Pb (0.990, 0.731, 0.500)

---

A plane-wave DFT calculation with GGA-PBE was carried out for crystalline Li2V4Pb at its relaxed geometry.

Properties
VASP energy (eV per cell): -33.2
V (Å³/cell): 177
Magnetic moment (μB per atom): 0.224
DOS(E_F) (states/eV/f.u.): 15.58
ΔE_f (meV per atom): 1540

Cell lengths 7.635, 7.635, 7.635 Å; angles 140.65, 140.65, 56.87 degrees
Fractional coordinates of all 7 atoms:
Li (0.100, 0.100, 0.000)
Li (0.900, 0.900, 0.000)
V (0.000, 0.500, 0.500)
V (0.297, 0.297, 0.000)
V (0.500, 0.000, 0.500)
V (0.703, 0.703, 0.000)
Pb (0.500, 0.500, 0.000)

---

A plane-wave DFT calculation with GGA-PBE was carried out for crystalline MgIrRh2 at its relaxed geometry.

Properties
VASP energy (eV per cell): -24.9
V (Å³/cell): 60
Magnetic moment (μB per atom): 0.000
DOS(E_F) (states/eV/f.u.): 6.05
ΔE_f (meV per atom): 73

Cell lengths 2.746, 2.746, 9.018 Å; angles 90.00, 90.00, 118.09 degrees
Fractional coordinates of all 4 atoms:
Mg (0.000, 0.000, 0.000)
Ir (0.500, 0.500, 0.250)
Rh (0.000, 0.000, 0.503)
Rh (0.500, 0.500, 0.755)

---

A plane-wave DFT calculation with GGA-PBE was carried out for crystalline MgH2Br2 at its relaxed geometry.

Properties
VASP energy (eV per cell): -32.0
V (Å³/cell): 310
Magnetic moment (μB per atom): 0.000
DOS(E_F) (states/eV/f.u.): 0.00

Cell lengths 8.023, 8.023, 6.338 Å; angles 92.21, 92.21, 130.31 degrees
Fractional coordinates of all 10 atoms:
Mg (0.250, 0.750, 0.000)
Mg (0.750, 0.250, 0.000)
H (0.206, 0.206, 0.765)
H (0.207, 0.207, 0.647)
H (0.793, 0.793, 0.353)
H (0.794, 0.794, 0.235)
Br (0.110, 0.425, 0.211)
Br (0.425, 0.110, 0.211)
Br (0.575, 0.890, 0.789)
Br (0.890, 0.575, 0.789)

---

A plane-wave DFT calculation with GGA-PBE was carried out for crystalline BaAsIrBr2 at its relaxed geometry.

Properties
VASP energy (eV per cell): -14.5
V (Å³/cell): 262
Magnetic moment (μB per atom): 1.206
DOS(E_F) (states/eV/f.u.): 6.08
E_form (uncorrected) (eV/atom): 0.85

Cell lengths 6.280, 6.280, 6.633 Å; angles 90.00, 90.00, 90.00 degrees
Fractional coordinates of all 5 atoms:
Ba (0.000, 0.000, 0.000)
As (0.000, 0.000, 0.500)
Ir (0.500, 0.500, 0.500)
Br (0.000, 0.500, 0.000)
Br (0.500, 0.000, 0.000)

---

A plane-wave DFT calculation with GGA-PBE was carried out for crystalline La2YI6 at its relaxed geometry.

Properties
VASP energy (eV per cell): -73.4
V (Å³/cell): 789
Magnetic moment (μB per atom): 0.102
DOS(E_F) (states/eV/f.u.): 4.68
E_form (uncorrected) (eV/atom): -1.23

Cell lengths 8.032, 8.032, 12.236 Å; angles 90.00, 90.00, 90.00 degrees
Fractional coordinates of all 18 atoms:
La (0.000, 0.000, 0.159)
La (0.000, 0.000, 0.841)
La (0.500, 0.500, 0.341)
La (0.500, 0.500, 0.659)
Y (0.000, 0.000, 0.500)
Y (0.500, 0.500, 0.000)
I (0.210, 0.210, 0.338)
I (0.210, 0.210, 0.662)
I (0.228, 0.228, 0.000)
I (0.272, 0.728, 0.500)
I (0.290, 0.710, 0.162)
I (0.290, 0.710, 0.838)
I (0.710, 0.290, 0.162)
I (0.710, 0.290, 0.838)
I (0.728, 0.272, 0.500)
I (0.772, 0.772, 0.000)
I (0.790, 0.790, 0.338)
I (0.790, 0.790, 0.662)

---

A plane-wave DFT calculation with GGA-PBE was carried out for crystalline Re2NiAu at its relaxed geometry.

Properties
VASP energy (eV per cell): -53.3
V (Å³/cell): 167
Magnetic moment (μB per atom): 0.000
DOS(E_F) (states/eV/f.u.): 1.96
ΔE_f (meV per atom): 1824

Cell lengths 6.842, 6.842, 6.842 Å; angles 133.30, 133.30, 68.18 degrees
Fractional coordinates of all 8 atoms:
Re (0.086, 0.625, 0.961)
Re (0.375, 0.336, 0.461)
Re (0.664, 0.125, 0.039)
Re (0.875, 0.914, 0.539)
Ni (0.000, 0.000, 0.000)
Ni (0.750, 0.250, 0.500)
Au (0.250, 0.750, 0.500)
Au (0.500, 0.500, 0.000)

---

A plane-wave DFT calculation with GGA-PBE was carried out for crystalline BiPbAuO5 at its relaxed geometry.

Properties
VASP energy (eV per cell): -80.7
V (Å³/cell): 272
Magnetic moment (μB per atom): 0.000
E_form (uncorrected) (eV/atom): -0.59

Cell lengths 6.097, 6.097, 8.269 Å; angles 107.46, 107.46, 96.99 degrees
Fractional coordinates of all 16 atoms:
Bi (0.089, 0.911, 0.750)
Bi (0.911, 0.089, 0.250)
Pb (0.000, 0.500, 0.000)
Pb (0.500, 0.000, 0.500)
Au (0.481, 0.519, 0.750)
Au (0.519, 0.481, 0.250)
O (0.176, 0.637, 0.844)
O (0.239, 0.247, 0.028)
O (0.247, 0.239, 0.528)
O (0.297, 0.703, 0.250)
O (0.363, 0.824, 0.656)
O (0.637, 0.176, 0.344)
O (0.703, 0.297, 0.750)
O (0.753, 0.761, 0.472)
O (0.761, 0.753, 0.972)
O (0.824, 0.363, 0.156)

---

A plane-wave DFT calculation with GGA-PBE was carried out for crystalline AsPS3 at its relaxed geometry.

Properties
VASP energy (eV per cell): -46.0
V (Å³/cell): 334
Magnetic moment (μB per atom): 0.000
DOS(E_F) (states/eV/f.u.): 0.00
E_form (uncorrected) (eV/atom): -0.11

Cell lengths 8.408, 8.408, 8.408 Å; angles 135.41, 125.04, 73.36 degrees
Fractional coordinates of all 10 atoms:
As (0.164, 0.250, 0.414)
As (0.836, 0.750, 0.586)
P (0.132, 0.730, 0.902)
P (0.827, 0.230, 0.098)
S (0.112, 0.388, 0.731)
S (0.112, 0.882, 0.225)
S (0.356, 0.865, 0.990)
S (0.657, 0.382, 0.269)
S (0.657, 0.888, 0.775)
S (0.875, 0.365, 0.010)

---

A plane-wave DFT calculation with GGA-PBE was carried out for crystalline CsCu3Pt at its relaxed geometry.

Properties
VASP energy (eV per cell): -17.0
V (Å³/cell): 121
Magnetic moment (μB per atom): 0.000
DOS(E_F) (states/eV/f.u.): 2.35
ΔE_f (meV per atom): 440

Cell lengths 4.940, 4.940, 4.940 Å; angles 90.00, 90.00, 90.00 degrees
Fractional coordinates of all 5 atoms:
Cs (0.000, 0.000, 0.000)
Cu (0.000, 0.500, 0.500)
Cu (0.500, 0.000, 0.500)
Cu (0.500, 0.500, 0.000)
Pt (0.500, 0.500, 0.500)

---

A plane-wave DFT calculation with GGA-PBE was carried out for crystalline Pm2Pr5Y2 at its relaxed geometry.

Properties
VASP energy (eV per cell): -46.2
V (Å³/cell): 315
Magnetic moment (μB per atom): 0.000
DOS(E_F) (states/eV/f.u.): 14.32
ΔE_f (meV per atom): 14

Cell lengths 6.365, 6.365, 11.001 Å; angles 106.82, 106.82, 48.16 degrees
Fractional coordinates of all 9 atoms:
Pm (0.001, 0.001, 0.167)
Pm (0.999, 0.999, 0.833)
Pr (0.000, 0.000, 0.500)
Pr (0.334, 0.334, 0.612)
Pr (0.334, 0.334, 0.945)
Pr (0.666, 0.666, 0.055)
Pr (0.666, 0.666, 0.388)
Y (0.333, 0.333, 0.277)
Y (0.667, 0.667, 0.723)

---

A plane-wave DFT calculation with GGA-PBE was carried out for crystalline ErMgAg at its relaxed geometry.

Properties
VASP energy (eV per cell): -7.9
V (Å³/cell): 78
Magnetic moment (μB per atom): 0.000
DOS(E_F) (states/eV/f.u.): 2.65
ΔE_f (meV per atom): 361

Cell lengths 8.475, 8.475, 8.475 Å; angles 158.97, 158.97, 29.91 degrees
Fractional coordinates of all 3 atoms:
Er (0.000, 0.000, 0.000)
Mg (0.348, 0.348, 0.000)
Ag (0.179, 0.179, 0.000)